*A*
The following is a DFT calculation (PBE) of an optimized crystal structure of Sc4TlNi.

a = 5.726 Å, b = 5.726 Å, c = 5.726 Å
α = 60.00°, β = 60.00°, γ = 60.00°
Atoms (fractional coordinates):
Sc  0.876  0.375  0.375
Sc  0.375  0.375  0.876
Sc  0.375  0.876  0.375
Sc  0.375  0.375  0.375
Tl  0.750  0.750  0.750
Ni  0.000  0.000  0.000

V = 132.72 Å³/cell

*B*
The following is a DFT calculation (PBE) of an optimized crystal structure of Sc4TlNi.

a = 5.819 Å, b = 6.432 Å, c = 8.238 Å
α = 107.19°, β = 110.69°, γ = 90.00°
Each line ends with the local moment (μB).
Atoms (fractional coordinates):
Sc  0.525  0.027  0.818  0.23
Sc  0.707  0.473  0.182  0.23
Sc  0.475  0.973  0.182  0.23
Sc  0.293  0.527  0.818  0.23
Sc  0.926  0.873  0.632  0.07
Sc  0.294  0.627  0.368  0.07
Sc  0.074  0.127  0.368  0.07
Sc  0.706  0.373  0.632  0.07
Tl  0.895  0.750  0.000  0.00
Tl  0.105  0.250  0.000  0.00
Ni  0.500  0.000  0.500  0.01
Ni  0.000  0.500  0.500  0.01

V = 273.68 Å³/cell

Quick one: least stable of them? *A*